No. 1
{
  "formula": "MnBeNi14",
  "functional": "GGA-PBE",
  "state": "relaxed",
  "final_energy_ev_per_atom": -5.918,
  "space_group": "No. 123",
  "m_tot_mub_per_cell": 11.6,
  "cell": [[4.983, 0.000, 0.000], [0.000, 4.983, 0.000], [0.000, 0.000, 6.975]],
  "species": ["Mn", "Be", "Ni", "Ni", "Ni", "Ni", "Ni", "Ni", "Ni", "Ni", "Ni", "Ni", "Ni", "Ni", "Ni", "Ni"],
  "fractional_positions": [[0.000, 0.000, 0.000], [0.500, 0.500, 0.000], [0.000, 0.000, 0.500], [0.000, 0.500, 0.000], [0.000, 0.500, 0.500], [0.254, 0.254, 0.248], [0.254, 0.254, 0.752], [0.254, 0.746, 0.248], [0.254, 0.746, 0.752], [0.500, 0.000, 0.000], [0.500, 0.000, 0.500], [0.500, 0.500, 0.500], [0.746, 0.254, 0.248], [0.746, 0.254, 0.752], [0.746, 0.746, 0.248], [0.746, 0.746, 0.752]]
}

---

No. 2
{
  "formula": "RbVAu",
  "functional": "GGA-PBE",
  "state": "relaxed",
  "final_energy_ev_per_atom": -4.135,
  "space_group": "No. 2",
  "relative_energy_ev_per_atom": 0.0501,
  "m_tot_mub_per_cell": 0.0,
  "cell": [[4.694, 0.000, 0.000], [0.797, 5.331, 0.000], [0.464, 1.090, 6.886]],
  "species": ["Rb", "Rb", "V", "V", "Au", "Au"],
  "fractional_positions": [[0.243, 0.232, 0.091], [0.757, 0.768, 0.909], [0.333, 0.619, 0.495], [0.667, 0.381, 0.505], [0.212, 0.123, 0.573], [0.788, 0.877, 0.427]]
}

---

Calculated formation enthalpy at 0 K (eV per formula unit), listed in the same order as above: -0.9 1.0